Below is ScFeBr2 at its PBEsol-relaxed geometry, with properties calculated at the SCAN level.

Cell and atoms, written as extended XYZ:
```
4
Lattice="4.508 -1.716 0.000 4.508 1.716 0.000 -0.294 0.000 5.979" Properties=species:S:1:pos:R:3 pbc="T T T"
Sc 0.000 0.000 0.000
Fe 2.420 0.000 5.538
Br 4.002 0.000 3.852
Br 6.431 0.000 1.145
```

Summary:
As for the raw total energy: -18.261 eV per atom. The energy relative to the lowest polymorph listed for this composition is 206 meV per atom. As for the crystal system: monoclinic. The density of states at the Fermi level is 0.56 states/eV/f.u. Its space group is Cm. For the energy relative to the elements, uncorrected, the calculation gives -42 kJ per mole of atoms.